[1]
Li3TeO3, optimized geometry, DFT PBE; size of the total moment = 0.000 μB/atom; formation energy from raw total energies = -1.387 eV/atom; electronic total energy = -66.93 eV/cell; V = 178.4 Å³ per cell; Fermi-level density of states = 0.03 states/eV per atom
1.0
3.455 -4.059 0.000
3.455 4.059 0.000
-2.433 0.000 6.361
Li Te O
6 2 6
Cartesian
0.765 0.000 1.463
3.455 2.485 0.000
2.239 2.009 3.181
2.239 -2.009 3.181
3.455 -2.485 0.000
3.713 0.000 4.899
0.332 0.000 4.913
4.145 0.000 1.449
0.120 2.046 4.642
-1.384 0.000 5.727
4.357 2.046 1.720
0.120 -2.046 4.642
5.861 0.000 0.634
4.357 -2.046 1.720



[2]
Ba2AgSb, optimized geometry, DFT PBE; size of the total moment = 0.000 μB/atom; formation energy from raw total energies = -0.651 eV/atom; electronic total energy = -13.42 eV/cell; V = 147.9 Å³ per cell; Fermi-level density of states = 0.26 states/eV per atom
1.0
5.844 0.000 0.000
0.000 5.844 0.000
0.000 0.000 4.330
Ba Ag Sb
2 1 1
Cartesian
0.000 2.922 0.000
2.922 0.000 0.000
0.000 0.000 2.165
2.922 2.922 2.165



- Look up the size of the total moment of the first one.
  0.000 μB/atom